No. 1
PBE MgPW, optimized geometry; polymorph energy (0 for the lowest one) = 880 meV/atom; E_form = 17.32 kcal/mol of atoms; crystal system = cubic
1.0
0.000 2.982 2.982
2.982 0.000 2.982
2.982 2.982 0.000
Mg P W
1 1 1
direct
0.000 0.000 0.000 Mg
0.500 0.500 0.500 P
0.750 0.750 0.750 W



No. 2
PBE RbCdSO4, optimized geometry; crystal system = cubic
1.0
0.000 4.450 4.450
4.450 0.000 4.450
4.450 4.450 0.000
Rb Cd S O
1 1 1 4
direct
0.000 0.000 0.000 Rb
0.750 0.750 0.750 Cd
0.500 0.500 0.500 S
0.208 0.597 0.597 O
0.597 0.208 0.597 O
0.597 0.597 0.208 O
0.597 0.597 0.597 O



No. 3
PBE Ba3Au, optimized geometry; E_form = -7.23 kcal/mol of atoms; crystal system = hexagonal
1.0
4.542 0.000 0.000
-2.271 3.934 0.000
0.000 0.000 11.767
Ba Au
3 1
direct
0.000 0.000 0.000 Ba
0.667 0.333 0.324 Ba
0.667 0.333 0.676 Ba
0.000 0.000 0.500 Au



No. 4
PBE Th3Cu2Ge4, optimized geometry; E_form = -15.28 kcal/mol of atoms; crystal system = monoclinic
1.0
5.529 -2.117 0.000
5.529 2.117 0.000
-1.570 0.000 8.205
Th Cu Ge
3 2 4
direct
0.000 0.000 0.000 Th
0.336 0.336 0.331 Th
0.664 0.664 0.669 Th
0.390 0.390 0.717 Cu
0.610 0.610 0.283 Cu
0.064 0.064 0.388 Ge
0.285 0.285 0.939 Ge
0.715 0.715 0.061 Ge
0.936 0.936 0.612 Ge



| no. | E_tot (eV/atom) |
| --- | --- |
| 1 | -5.9014 |
| 2 | -4.9116 |
| 3 | -2.5750 |
| 4 | -6.0985 |